# PBE GaRe3Cl, relaxed
# Offset from the most stable computed form in meV per atom: 0
# Fermi-level density of states in states/eV/atom: 1.2855
# Energy in eV per cell: -33.29
data_GaRe3Cl
_space_group_name_H-M_alt 'P m -3 m'
_space_group_IT_number 221
_space_group_name_Hall '-P 4 2 3'
_cell_length_a 4.3617
_cell_length_b 4.3617
_cell_length_c 4.3617
_cell_angle_alpha 90.00
_cell_angle_beta 90.00
_cell_angle_gamma 90.00
loop_
_atom_site_label
_atom_site_type_symbol
_atom_site_fract_x
_atom_site_fract_y
_atom_site_fract_z
Ga1 Ga 0.0000 0.0000 0.0000
Re1 Re 0.0000 0.5000 0.5000
Cl1 Cl 0.5000 0.5000 0.5000